Entry 1:
An optimized crystal structure of CaSeSCl2. Source: Alexandria, functional PBE.

Calculated values
Size of the total moment (μB per formula unit): 0.0
Calculated density (g/cm3): 2.8
Raw total energy (eV per atom): -3.2588
Fermi-level density of states (states/eV/f.u.): 2.85
Space-group type: P4/mmm

POSCAR file:
```
CaSeSCl2
1.0
5.120 0.000 0.000
0.000 5.120 0.000
0.000 0.000 4.984
Ca Se S Cl
1 1 1 2
direct
0.000 0.000 0.000
0.500 0.500 0.500
0.500 0.500 0.000
0.000 0.500 0.500
0.500 0.000 0.500
```


Entry 2:
An optimized crystal structure of Sr4In3Ga. Source: Alexandria, functional PBE.

Calculated values
Size of the total moment (μB per formula unit): 0.0
Calculated density (g/cm3): 4.6
Raw total energy (eV per atom): -2.6565
Fermi-level density of states (states/eV/f.u.): 5.51
ΔE_f (eV per formula unit): -3.28
Space-group type: Pmm2

POSCAR file:
```
Sr4In3Ga
1.0
4.414 0.000 0.000
0.000 4.943 0.000
0.000 0.000 12.717
Sr In Ga
4 3 1
direct
0.000 0.000 0.000
0.000 0.500 0.283
0.500 0.000 0.487
0.500 0.500 0.789
0.000 0.000 0.711
0.000 0.500 0.567
0.500 0.500 0.074
0.500 0.000 0.211
```


Entry 3:
An optimized crystal structure of K3ScCr. Source: Alexandria, functional PBE.

Calculated values
Size of the total moment (μB per formula unit): 7.2
Calculated density (g/cm3): 1.3
Raw total energy (eV per atom): -2.6979
Fermi-level density of states (states/eV/f.u.): 11.06
ΔE_f (eV per formula unit): 5.76
Space-group type: Pm-3m

POSCAR file:
```
K3ScCr
1.0
6.572 0.000 0.000
0.000 6.572 0.000
0.000 0.000 6.572
K Sc Cr
3 1 1
direct
0.000 0.000 0.500
0.000 0.500 0.000
0.500 0.000 0.000
0.500 0.500 0.500
0.000 0.000 0.000
```


Entry 4:
An optimized crystal structure of AlZnIr2Au. Source: Alexandria, functional PBE.

Calculated values
Size of the total moment (μB per formula unit): 0.0
Calculated density (g/cm3): 11.9
Raw total energy (eV per atom): -4.4355
Fermi-level density of states (states/eV/f.u.): 1.27
ΔE_f (eV per formula unit): 3.84
Space-group type: P4/mmm

POSCAR file:
```
AlZnIr2Au
1.0
4.516 0.000 0.000
0.000 4.516 0.000
0.000 0.000 4.607
Al Zn Ir Au
1 1 2 1
direct
0.000 0.000 0.000
0.500 0.500 0.500
0.000 0.500 0.000
0.500 0.000 0.000
0.000 0.000 0.500
```


Entry 5:
An optimized crystal structure of Li2SiRh. Source: Alexandria, functional PBE.

Calculated values
Size of the total moment (μB per formula unit): 0.0
Calculated density (g/cm3): 4.2
Raw total energy (eV per atom): -4.3585
Fermi-level density of states (states/eV/f.u.): 1.71
Space-group type: I-42d

POSCAR file:
```
Li2SiRh
1.0
-1.741 1.741 9.367
1.741 -1.741 9.367
1.741 1.741 -9.367
Li Si Rh
4 2 2
direct
0.124 0.625 0.999
0.375 0.374 0.499
0.626 0.125 0.001
0.875 0.876 0.501
0.250 0.750 0.500
0.500 0.500 0.000
0.000 0.000 0.000
0.750 0.250 0.500
```


Entry 6:
An optimized crystal structure of V2GaCu. Source: Alexandria, functional PBE.

Calculated values
Size of the total moment (μB per formula unit): 0.0
Calculated density (g/cm3): 7.4
Raw total energy (eV per atom): -6.4606
Fermi-level density of states (states/eV/f.u.): 3.30
ΔE_f (eV per formula unit): -0.48
Space-group type: P4/mmm

POSCAR file:
```
V2GaCu
1.0
3.607 0.000 0.000
0.000 3.607 0.000
0.000 0.000 4.080
V Ga Cu
2 1 1
direct
0.000 0.500 0.000
0.500 0.000 0.000
0.000 0.000 0.500
0.500 0.500 0.500
```


Entry 7:
An optimized crystal structure of Mg5Hg3Br12. Source: Alexandria, functional PBE.

Calculated values
Size of the total moment (μB per formula unit): 0.0
Calculated density (g/cm3): 4.4
Raw total energy (eV per atom): -2.4588
Fermi-level density of states (states/eV/f.u.): 16.47
Space-group type: Ia-3d

POSCAR file:
```
Mg5Hg3Br12
1.0
-8.593 8.593 8.593
8.593 -8.593 8.593
8.593 8.593 -8.593
Mg Hg Br
20 12 48
direct
0.000 0.000 0.000
0.000 0.000 0.500
0.000 0.500 0.000
0.000 0.500 0.500
0.125 0.750 0.875
0.125 0.875 0.250
0.250 0.125 0.875
0.250 0.625 0.375
0.375 0.250 0.625
0.375 0.625 0.750
0.500 0.000 0.000
0.500 0.000 0.500
0.500 0.500 0.000
0.500 0.500 0.500
0.625 0.375 0.250
0.625 0.750 0.375
0.750 0.375 0.625
0.750 0.875 0.125
0.875 0.125 0.750
0.875 0.250 0.125
0.125 0.250 0.375
0.125 0.375 0.750
0.250 0.375 0.125
0.250 0.875 0.625
0.375 0.125 0.250
0.375 0.750 0.125
0.625 0.250 0.875
0.625 0.875 0.750
0.750 0.125 0.375
0.750 0.625 0.875
0.875 0.625 0.250
0.875 0.750 0.625
0.017 0.197 0.111
0.017 0.320 0.906
0.086 0.697 0.680
0.086 0.889 0.406
0.094 0.611 0.414
0.094 0.983 0.680
0.111 0.017 0.197
0.111 0.594 0.914
0.180 0.197 0.586
0.180 0.483 0.594
0.197 0.111 0.017
0.197 0.586 0.180
0.303 0.320 0.914
0.303 0.483 0.389
0.320 0.906 0.017
0.320 0.914 0.303
0.389 0.303 0.483
0.389 0.586 0.906
0.406 0.086 0.889
0.406 0.820 0.517
0.414 0.094 0.611
0.414 0.820 0.803
0.483 0.389 0.303
0.483 0.594 0.180
0.517 0.406 0.820
0.517 0.611 0.697
0.586 0.180 0.197
0.586 0.906 0.389
0.594 0.180 0.483
0.594 0.914 0.111
0.611 0.414 0.094
0.611 0.697 0.517
0.680 0.086 0.697
0.680 0.094 0.983
0.697 0.517 0.611
0.697 0.680 0.086
0.803 0.414 0.820
0.803 0.889 0.983
0.820 0.517 0.406
0.820 0.803 0.414
0.889 0.406 0.086
0.889 0.983 0.803
0.906 0.017 0.320
0.906 0.389 0.586
0.914 0.111 0.594
0.914 0.303 0.320
0.983 0.680 0.094
0.983 0.803 0.889
```


Entry 8:
An optimized crystal structure of Dy12ZnRu6. Source: Alexandria, functional PBE.

Calculated values
Size of the total moment (μB per formula unit): 0.0
Calculated density (g/cm3): 8.6
Raw total energy (eV per atom): -6.0569
Fermi-level density of states (states/eV/f.u.): 10.32
ΔE_f (eV per formula unit): -2.93
Space-group type: R-3

POSCAR file:
```
Dy12ZnRu6
1.0
6.290 3.631 3.703
-6.290 3.631 3.703
0.000 -7.263 3.703
Dy Zn Ru
12 1 6
direct
0.068 0.922 0.668
0.078 0.332 0.932
0.178 0.558 0.416
0.332 0.932 0.078
0.416 0.178 0.558
0.442 0.584 0.822
0.558 0.416 0.178
0.584 0.822 0.442
0.668 0.068 0.922
0.822 0.442 0.584
0.922 0.668 0.068
0.932 0.078 0.332
0.000 0.000 0.000
0.138 0.302 0.613
0.302 0.613 0.138
0.387 0.862 0.698
0.613 0.138 0.302
0.698 0.387 0.862
0.862 0.698 0.387
```